(1)
The following is a PBE-GGA calculation of NaHgGe after structural relaxation, from Alexandria via LeMat-Bulk.

```
NaHgGe
1.0
-4.328 0.833 -1.724
-3.781 -1.992 2.033
-3.050 2.666 2.448
Na Hg Ge
1 1 1
direct
0.500 0.500 0.500 Na
0.250 0.250 0.250 Hg
0.000 0.000 0.000 Ge
```

Results
Total magnetic moment, μB per atom: 0.00
ΔH_f (0 K), eV/atom: 0.03

(2)
The following is a PBE-GGA calculation of NaHg2Ge after structural relaxation, from Alexandria via LeMat-Bulk.

```
NaHg2Ge
1.0
3.711 0.000 0.000
0.000 3.711 0.000
0.000 0.000 6.790
Ge Na Hg
1 1 2
direct
0.500 0.500 0.000 Ge
0.500 0.500 0.500 Na
0.000 0.000 0.238 Hg
0.000 0.000 0.762 Hg
```

Results
Total magnetic moment, μB per atom: 0.00
ΔH_f (0 K), eV/atom: 0.00

(3)
The following is a PBE-GGA calculation of NaHgGe after structural relaxation, from Alexandria via LeMat-Bulk.

```
NaHgGe
1.0
3.793 -0.153 -1.206
-0.212 4.383 -1.222
-1.096 0.206 9.418
Ge Hg Na
2 2 2
direct
0.834 0.543 0.086 Ge
0.166 0.457 0.914 Ge
0.175 0.713 0.426 Hg
0.825 0.287 0.574 Hg
0.445 0.099 0.198 Na
0.555 0.901 0.802 Na
```

Results
Total magnetic moment, μB per atom: 0.00
ΔH_f (0 K), eV/atom: -0.11

(4)
The following is a PBE-GGA calculation of Na8HgGe2 after structural relaxation, from Alexandria via LeMat-Bulk.

```
Na8HgGe2
1.0
5.134 0.000 0.000
0.000 7.386 -0.170
-2.567 -3.389 8.338
Na Ge Hg
8 2 1
direct
0.605 0.466 0.210 Na
0.016 0.742 0.033 Na
0.984 0.258 0.967 Na
0.676 0.947 0.351 Na
0.324 0.053 0.649 Na
0.799 0.702 0.597 Na
0.201 0.298 0.403 Na
0.395 0.534 0.790 Na
0.830 0.323 0.660 Ge
0.170 0.677 0.340 Ge
0.500 0.000 0.000 Hg
```

Results
Total magnetic moment, μB per atom: 0.00
ΔH_f (0 K), eV/atom: -0.06